VASP calculation (PBE) on a geometry-optimized Be4V2Pd structure.

Unit cell a=4.1533 b=4.1533 c=6.4686 alpha=71.27 beta=71.27 gamma=90.00
Atoms (fractional coordinates):
Be  0.8085  0.8085  0.3829
Be  0.1915  0.1915  0.6171
Be  0.0000  0.5000  0.0000
Be  0.5000  0.0000  0.0000
Pd  0.0000  0.0000  0.0000
V  0.5963  0.5963  0.8075
V  0.4037  0.4037  0.1925

Computed properties:
**Formation energy**: 0.668 eV per atom

=====

VASP calculation (PBE) on a geometry-optimized BeVPd2 structure.

Unit cell a=3.7837 b=3.7837 c=8.5682 alpha=77.24 beta=77.24 gamma=90.00
Atoms (fractional coordinates):
Be  0.5000  0.5000  0.0000
Be  0.2500  0.7500  0.5000
Pd  0.6134  0.1250  0.2500
Pd  0.1366  0.6250  0.2500
Pd  0.3750  0.3866  0.7500
Pd  0.8750  0.8634  0.7500
V  0.0000  0.0000  0.0000
V  0.7500  0.2500  0.5000

Computed properties:
**Formation energy**: 0.183 eV per atom

=====

VASP calculation (PBE) on a geometry-optimized Be2VPd2 structure.

Unit cell a=6.8628 b=6.8628 c=2.6356 alpha=90.00 beta=90.00 gamma=90.00
Atoms (fractional coordinates):
Be  0.1579  0.6579  0.5000
Be  0.6579  0.8421  0.5000
Be  0.8421  0.3421  0.5000
Be  0.3421  0.1579  0.5000
Pd  0.3587  0.8587  0.0000
Pd  0.8587  0.6413  0.0000
Pd  0.6413  0.1413  0.0000
Pd  0.1413  0.3587  0.0000
V  0.0000  0.0000  0.0000
V  0.5000  0.5000  0.0000

Computed properties:
**Formation energy**: -0.180 eV per atom
**Energy relative to the lowest polymorph listed for this composition**: 142 meV per atom

=====

VASP calculation (PBE) on a geometry-optimized Be3VPd structure.

Unit cell a=4.1015 b=4.1015 c=4.1015 alpha=90.00 beta=90.00 gamma=90.00
Atoms (fractional coordinates):
Be  0.0000  0.5000  0.0000
Be  0.0000  0.0000  0.5000
Be  0.5000  0.0000  0.0000
Pd  0.5000  0.5000  0.5000
V  0.0000  0.0000  0.0000

Computed properties:
**Formation energy**: 1.335 eV per atom
**Energy relative to the lowest polymorph listed for this composition**: 790 meV per atom

=====

VASP calculation (PBE) on a geometry-optimized BeVPd3 structure.

Unit cell a=4.2064 b=4.2064 c=4.2064 alpha=90.00 beta=90.00 gamma=90.00
Atoms (fractional coordinates):
Be  0.0000  0.0000  0.0000
Pd  0.0000  0.5000  0.0000
Pd  0.0000  0.0000  0.5000
Pd  0.5000  0.0000  0.0000
V  0.5000  0.5000  0.5000

Computed properties:
**Formation energy**: 0.016 eV per atom

=====

VASP calculation (PBE) on a geometry-optimized Be2V2Pd structure.

Unit cell a=5.8793 b=5.8793 c=3.3720 alpha=90.00 beta=90.00 gamma=90.00
Atoms (fractional coordinates):
Be  0.3711  0.8711  0.0000
Be  0.8711  0.6289  0.0000
Be  0.6289  0.1289  0.0000
Be  0.1289  0.3711  0.0000
Pd  0.0000  0.0000  0.0000
Pd  0.5000  0.5000  0.0000
V  0.1628  0.6628  0.5000
V  0.6628  0.8372  0.5000
V  0.8372  0.3372  0.5000
V  0.3372  0.1628  0.5000

Computed properties:
**Formation energy**: -0.166 eV per atom
**Energy relative to the lowest polymorph listed for this composition**: 0 meV per atom

=====

> Look up the formation energy of the second one.

0.183 eV per atom

=====

> What is the formation energy in the first record?

0.668 eV per atom

=====

> Among the records above, which one has the lowest formation energy?

Be2VPd2

=====

> Number 1 is which compound?

Be4V2Pd